No. 1
This record from Alexandria describes crystalline SmTmPdRu at its relaxed geometry. The functional is GGA-PBE.

The space group is P4mm (No. 99) and the conventional cell measures 3.447, 3.447 and 7.014 Å, with angles of 90.00, 90.00 and 90.00 degrees. The asymmetric unit holds Sm at (0.000, 0.000, 0.000), Tm at (0.000, 0.000, 0.479), Pd at (0.500, 0.500, 0.722) and Ru at (0.500, 0.500, 0.249).

The distance to the lowest polymorph of the same formula is 0.0 kJ/mol of atoms. The calculation puts the energy of formation at -0.646 eV/atom. The calculation puts the magnetization at 0.00 Bohr magnetons per cell.


No. 2
This record from Alexandria describes crystalline ScMn2Mo at its relaxed geometry. The functional is GGA-PBE.

The space group is P4mm (No. 99) and the conventional cell measures 2.744, 2.744 and 7.715 Å, with angles of 90.00, 90.00 and 90.00 degrees. The asymmetric unit holds Sc at (0.000, 0.000, 0.000), Mn at (0.000, 0.000, 0.425), Mn at (0.500, 0.500, 0.268) and Mo at (0.500, 0.500, 0.683).

The calculation puts the energy of formation at 0.146 eV/atom. The calculation puts the magnetization at 0.00 Bohr magnetons per cell.